Record 1
# BiPbC2Cl

A relaxed structure of BiPbC2Cl (PBE, Alexandria via LeMat-Bulk).

Cell: 4.547 5.354 4.547 Å, 90.00 90.00 90.00°
Site moments in Bohr magnetons follow the coordinates.
Fractional positions:
1 Pb 0.000 0.500 0.000  -0.02
2 C 0.000 0.000 0.500  0.39
3 C 0.500 0.000 0.000  0.46
4 Bi 0.500 0.500 0.500  -0.12
5 Cl 0.000 0.000 0.000  -0.02

**ρ**: 7.1 g/cm3
**Formation energy from raw total energies**: 2.4282 eV/atom
**E_tot**: -3.1486 eV per atom
**Volume**: 111 Å³ per cell
**DOS(E_F)**: 3.23 states/eV per cell
**Size of the total moment**: 1.5 μB per formula unit



Record 2
# BiPtC2Cl

A relaxed structure of BiPtC2Cl (PBE, Alexandria via LeMat-Bulk).

Cell: 3.946 6.913 3.946 Å, 90.00 90.00 90.00°
Fractional positions:
1 C 0.000 0.000 0.500
2 C 0.500 0.000 0.000
3 Bi 0.500 0.500 0.500
4 Pt 0.000 0.000 0.000
5 Cl 0.000 0.500 0.000

**ρ**: 7.1 g/cm3
**Formation energy from raw total energies**: 1.4239 eV/atom
**E_tot**: -4.6193 eV per atom
**Volume**: 108 Å³ per cell
**DOS(E_F)**: 4.18 states/eV per cell
**Size of the total moment**: 0.0 μB per formula unit